No. 1
Tb4Ho2Tm after structural relaxation, computed with GGA-PBE.

relative energy among the computed polymorphs	0.000	eV per atom
formation energy	40	meV/atom
crystal system	monoclinic

Cell: 16.680 3.509 8.671 Å, 90.00 119.69 90.00°
Space group C2/m (No. 12)
One atom of each set of equivalent atoms:
Tb: 0.140 0.000 0.336
Tb: 0.204 0.000 0.793
Ho: 0.070 0.500 0.930
Tm: 0.000 0.500 0.500

***

No. 2
DySb2Ir after structural relaxation, computed with GGA-PBE.

ΔE_f (raw)	-36.1	meV/atom
crystal system	trigonal

Cell: 3.6123 3.6123 28.8671 Å, 90.00 90.00 120.00°
Space group R-3m (No. 166, hexagonal axes)
One atom of each set of equivalent atoms:
Dy: 0.0000 0.0000 0.0000
Sb: 0.0000 0.0000 0.1080
Ir: 0.0000 0.0000 0.5000

***

No. 3
HfZrZnAu after structural relaxation, computed with GGA-PBE.

formation energy	-344	meV/atom
crystal system	orthorhombic

Cell: 4.249 3.343 11.002 Å, 90.00 90.00 90.00°
Space group Amm2 (No. 38)
One atom of each set of equivalent atoms:
Hf: 0.000 0.000 0.000
Zr: 0.500 0.000 0.674
Zn: 0.000 0.000 0.260
Au: 0.500 0.000 0.407